Pm2NiB2Rh5 | GGA-PBE | optimized geometry

a b c (Å): 9.563 9.563 3.237
angles (deg): 90.00 90.00 90.00
Space group P4/mbm (No. 127)
One atom of each set of equivalent atoms:
1 Pm 0.177 0.323 0.000 x4
2 Ni 0.000 0.000 0.000 x2
3 B 0.123 0.623 0.000 x4
4 Rh 0.000 0.500 0.500 x2
5 Rh 0.069 0.779 0.500 x8

Computed properties:
Raw total energy in eV/atom: -7.05
Total moment in μB per formula unit: 0.9
DFT formation energy in meV/atom: -511

Cs3Dy2MgS6 | GGA-PBE | optimized geometry

a b c (Å): 7.042 12.201 8.355
angles (deg): 90.00 106.34 90.00
Space group C2/m (No. 12)
One atom of each set of equivalent atoms:
1 Cs 0.000 0.000 0.000 x2
2 Cs 0.000 0.334 0.000 x4
3 Dy 0.000 0.167 0.500 x4
4 Mg 0.000 0.500 0.500 x2
5 S 0.224 0.336 0.679 x8
6 S 0.231 0.000 0.679 x4

Computed properties:
Energy relative to the elements, uncorrected in eV per atom: -1.496
Raw total energy in eV/atom: -4.67
Total moment in μB per formula unit: 0.0